1.
The following is a PBE calculation of crystalline Tb2PmY9 at its relaxed geometry, from Alexandria.

Spin magnetization   0.00 Bohr magnetons per cell
SG   P4/mmm, No. 123
Calculated density   5.40 g/cm³
Fermi-level density of states   18.03 states/eV per cell
Energy of formation   0.024 eV/atom

```
Tb2PmY9
1.0
5.059 0.000 0.000
0.000 5.059 0.000
0.000 0.000 15.168
Tb Pm Y
2 1 9
Direct
0.000 0.000 0.166
0.000 0.000 0.834
0.000 0.000 0.500
0.000 0.500 0.000
0.000 0.500 0.332
0.000 0.500 0.668
0.500 0.000 0.000
0.500 0.000 0.332
0.500 0.000 0.668
0.500 0.500 0.166
0.500 0.500 0.500
0.500 0.500 0.834
```

2.
The following is a PBE calculation of crystalline Tb6Pm7Y16 at its relaxed geometry, from Alexandria.

Spin magnetization   0.00 Bohr magnetons per cell
SG   Fm-3m, No. 225
Calculated density   5.80 g/cm³
Fermi-level density of states   53.77 states/eV per cell
Energy of formation   0.180 eV/atom

```
Tb6Pm7Y16
1.0
0.000 7.860 7.860
7.860 0.000 7.860
7.860 7.860 0.000
Tb Pm Y
6 7 16
Direct
0.224 0.224 0.776
0.224 0.776 0.224
0.224 0.776 0.776
0.776 0.224 0.224
0.776 0.224 0.776
0.776 0.776 0.224
0.000 0.000 0.000
0.000 0.000 0.500
0.000 0.500 0.000
0.000 0.500 0.500
0.500 0.000 0.000
0.500 0.000 0.500
0.500 0.500 0.000
0.150 0.150 0.150
0.150 0.150 0.551
0.150 0.551 0.150
0.160 0.613 0.613
0.387 0.387 0.387
0.387 0.387 0.840
0.387 0.840 0.387
0.449 0.850 0.850
0.551 0.150 0.150
0.613 0.160 0.613
0.613 0.613 0.160
0.613 0.613 0.613
0.840 0.387 0.387
0.850 0.449 0.850
0.850 0.850 0.449
0.850 0.850 0.850
```

3.
The following is a PBE calculation of crystalline Tb3Pm2Y5 at its relaxed geometry, from Alexandria.

Spin magnetization   0.00 Bohr magnetons per cell
SG   Ibam, No. 72
Calculated density   5.73 g/cm³
Polymorph energy (0 for the lowest one)   226 meV per atom
Fermi-level density of states   33.45 states/eV per cell
Energy of formation   0.411 eV/atom

```
Tb3Pm2Y5
1.0
-4.671 10.979 3.421
4.671 -10.979 3.421
4.671 10.979 -3.421
Tb Pm Y
6 4 10
Direct
0.124 0.250 0.375
0.250 0.250 0.000
0.376 0.750 0.126
0.624 0.250 0.874
0.750 0.750 0.000
0.876 0.750 0.625
0.121 0.900 0.021
0.379 0.400 0.780
0.621 0.600 0.220
0.879 0.100 0.979
0.003 0.250 0.753
0.128 0.590 0.718
0.250 0.750 0.500
0.372 0.090 0.462
0.497 0.250 0.247
0.503 0.750 0.753
0.628 0.910 0.538
0.750 0.250 0.500
0.872 0.410 0.282
0.997 0.750 0.247
```

4.
The following is a PBE calculation of crystalline Tb5PmY3 at its relaxed geometry, from Alexandria.

Spin magnetization   0.00 Bohr magnetons per cell
SG   C2/c, No. 15
Calculated density   6.54 g/cm³
Polymorph energy (0 for the lowest one)   0 meV per atom
Fermi-level density of states   25.36 states/eV per cell
Energy of formation   0.294 eV/atom

```
Tb5PmY3
1.0
9.178 -3.172 0.000
9.178 3.172 0.000
-4.280 0.000 10.528
Tb Pm Y
10 2 6
Direct
0.043 0.617 0.290
0.102 0.898 0.750
0.149 0.511 0.629
0.383 0.957 0.210
0.489 0.851 0.871
0.511 0.149 0.129
0.617 0.043 0.790
0.851 0.489 0.371
0.898 0.102 0.250
0.957 0.383 0.710
0.369 0.631 0.250
0.631 0.369 0.750
0.032 0.647 0.985
0.353 0.968 0.515
0.500 0.500 0.000
0.500 0.500 0.500
0.647 0.032 0.485
0.968 0.353 0.015
```

5.
The following is a PBE calculation of crystalline Tb12PmY6 at its relaxed geometry, from Alexandria.

Spin magnetization   0.00 Bohr magnetons per cell
SG   R-3m, No. 166
Calculated density   6.45 g/cm³
Polymorph energy (0 for the lowest one)   236 meV per atom
Fermi-level density of states   23.67 states/eV per cell
Energy of formation   0.445 eV/atom

```
Tb12PmY6
1.0
6.708 3.873 4.272
-6.708 3.873 4.272
0.000 -7.745 4.272
Tb Pm Y
12 1 6
Direct
0.000 0.382 0.618
0.000 0.618 0.382
0.030 0.030 0.316
0.030 0.316 0.030
0.316 0.030 0.030
0.382 0.000 0.618
0.382 0.618 0.000
0.618 0.000 0.382
0.618 0.382 0.000
0.684 0.970 0.970
0.970 0.684 0.970
0.970 0.970 0.684
0.500 0.500 0.500
0.243 0.704 0.704
0.296 0.296 0.757
0.296 0.757 0.296
0.704 0.243 0.704
0.704 0.704 0.243
0.757 0.296 0.296
```

6.
The following is a PBE calculation of crystalline Tb9Pm4Y11 at its relaxed geometry, from Alexandria.

Spin magnetization   0.05 Bohr magnetons per cell
SG   Cmmm, No. 65
Calculated density   6.30 g/cm³
Fermi-level density of states   31.13 states/eV per cell
Energy of formation   0.053 eV/atom

```
Tb9Pm4Y11
1.0
8.393 -12.602 0.000
8.393 12.602 0.000
0.000 0.000 3.722
Tb Pm Y
9 4 11
Direct
0.000 0.000 0.000
0.134 0.663 0.000
0.287 0.433 0.000
0.337 0.866 0.000
0.433 0.287 0.000
0.567 0.713 0.000
0.663 0.134 0.000
0.713 0.567 0.000
0.866 0.337 0.000
0.054 0.254 0.000
0.254 0.054 0.000
0.746 0.946 0.000
0.946 0.746 0.000
0.093 0.455 0.500
0.135 0.865 0.500
0.211 0.211 0.500
0.341 0.659 0.500
0.455 0.093 0.500
0.500 0.500 0.500
0.545 0.907 0.500
0.659 0.341 0.500
0.789 0.789 0.500
0.865 0.135 0.500
0.907 0.545 0.500
```

7.
The following is a PBE calculation of crystalline Tb7Pm3Y2 at its relaxed geometry, from Alexandria.

Spin magnetization   0.00 Bohr magnetons per cell
SG   P2/m, No. 10
Calculated density   7.24 g/cm³
Polymorph energy (0 for the lowest one)   0 meV per atom
Fermi-level density of states   17.98 states/eV per cell
Energy of formation   0.080 eV/atom

```
Tb7Pm3Y2
1.0
6.385 0.000 0.000
0.000 3.540 0.000
-1.885 0.000 17.496
Tb Pm Y
7 3 2
Direct
0.000 0.000 0.000
0.225 0.500 0.167
0.254 0.500 0.499
0.271 0.000 0.834
0.729 0.000 0.166
0.746 0.500 0.501
0.775 0.500 0.833
0.452 0.000 0.341
0.500 0.500 0.000
0.548 0.000 0.659
0.056 0.500 0.673
0.944 0.500 0.327
```

8.
The following is a PBE calculation of crystalline Tb2PmY at its relaxed geometry, from Alexandria.

Spin magnetization   0.00 Bohr magnetons per cell
SG   P4/mmm, No. 123
Calculated density   7.03 g/cm³
Polymorph energy (0 for the lowest one)   6 meV per atom
Fermi-level density of states   6.08 states/eV per cell
Energy of formation   0.020 eV/atom

```
Tb2PmY
1.0
5.069 0.000 0.000
0.000 5.069 0.000
0.000 0.000 5.074
Tb Pm Y
2 1 1
Direct
0.000 0.500 0.000
0.500 0.000 0.000
0.000 0.000 0.500
0.500 0.500 0.500
```

Among the records above, which one has the highest energy of formation? Tb12PmY6